GGA-PBE LaInRu3, relaxed; formation enthalpy at 0 K = 1.129 eV/atom; density of states at the Fermi level = 2.052 states/eV per atom; total energy = -29.8 eV for the cell shown; crystal system = cubic; polymorph energy (0 for the lowest one) = 0.00 kJ per mole of atoms
1.0
4.885 0.000 0.000
0.000 4.885 0.000
0.000 0.000 4.885
La In Ru
1 1 3
Direct
0.000 0.000 0.000
0.500 0.500 0.500
0.000 0.500 0.500
0.500 0.000 0.500
0.500 0.500 0.000